Entry 1:
Zn2RhPb | SCAN | single point on PBEsol structure

Cell lengths 3.9695, 3.9695, 8.2792 Å; angles 90.00, 90.00, 90.00 degrees
With the nearest neighbours (Å) after each atom.
Atoms (fractional coordinates):
Zn (0.0000, 0.5000, 0.2500)  4 Zn 2.81, 4 Pb 2.87, 4 Rh 2.87
Zn (0.0000, 0.5000, 0.7500)  4 Zn 2.81, 4 Pb 2.87, 4 Rh 2.87
Zn (0.5000, 0.0000, 0.2500)  4 Zn 2.81, 4 Pb 2.87, 4 Rh 2.87
Zn (0.5000, 0.0000, 0.7500)  4 Zn 2.81, 4 Pb 2.87, 4 Rh 2.87
Rh (0.0000, 0.0000, 0.0000)  4 Pb 2.81, 8 Zn 2.87
Rh (0.5000, 0.5000, 0.5000)  4 Pb 2.81, 8 Zn 2.87
Pb (0.0000, 0.0000, 0.5000)  4 Rh 2.81, 8 Zn 2.87
Pb (0.5000, 0.5000, 0.0000)  4 Rh 2.81, 8 Zn 2.87

Results
Its density is 11.2 g/cm3. The space group is I4/mmm. The calculation puts the energy of formation at 0.044 eV per atom.



Entry 2:
Zn2PIr | SCAN | single point on PBEsol structure

Cell lengths 2.7818, 2.7818, 7.4581 Å; angles 90.00, 90.00, 90.00 degrees
With the nearest neighbours (Å) after each atom.
Atoms (fractional coordinates):
Zn (0.0000, 0.0000, 0.2324)  4 Ir 2.62, 4 Zn 2.78, 4 P 2.80
Zn (0.0000, 0.0000, 0.7676)  4 Ir 2.62, 4 Zn 2.78, 4 P 2.80
P (0.5000, 0.5000, 0.5000)  4 P 2.78, 8 Zn 2.80
Ir (0.5000, 0.5000, 0.0000)  8 Zn 2.62, 4 Ir 2.78

Results
Its density is 10.2 g/cm3. The space group is P4/mmm. The calculation puts the energy of formation at 0.175 eV per atom.



Entry 3:
U2Fe3Ge | SCAN | single point on PBEsol structure

Cell lengths 5.1137, 5.1137, 7.3873 Å; angles 90.00, 90.00, 120.00 degrees
With the nearest neighbours (Å) after each atom.
Atoms (fractional coordinates):
U (0.3333, 0.6667, 0.0679)  1 U 2.69, 9 Fe 2.76-2.89, 3 Ge 2.99
U (0.3333, 0.6667, 0.4321)  1 U 2.69, 9 Fe 2.76-2.89, 3 Ge 2.99
U (0.6667, 0.3333, 0.5679)  1 U 2.69, 9 Fe 2.76-2.89, 3 Ge 2.99
U (0.6667, 0.3333, 0.9321)  1 U 2.69, 9 Fe 2.76-2.89, 3 Ge 2.99
Fe (0.1707, 0.3414, 0.7500)  2 Ge 2.39, 4 Fe 2.50-2.62
Fe (0.1707, 0.8293, 0.7500)  2 Ge 2.39, 4 Fe 2.50-2.62
Fe (0.3414, 0.1707, 0.2500)  2 Ge 2.39, 4 Fe 2.50-2.62
Fe (0.6586, 0.8293, 0.7500)  2 Ge 2.39, 4 Fe 2.50-2.62
Fe (0.8293, 0.1707, 0.2500)  2 Ge 2.39, 4 Fe 2.50-2.62
Fe (0.8293, 0.6586, 0.2500)  2 Ge 2.39, 4 Fe 2.50-2.62
Ge (0.0000, 0.0000, 0.0000)  6 Fe 2.39
Ge (0.0000, 0.0000, 0.5000)  6 Fe 2.39

Results
Its density is 14.2 g/cm3. The space group is P6_3/mmc. The calculation puts the energy of formation at -0.078 eV per atom.



Question: Which of these has the lowest energy of formation?
Answer: U2Fe3Ge